First-principles (GGA-PBE) data for a relaxed structure of MnIn2W, as listed in Alexandria via LeMat-Bulk.

a = 5.0458 Å, b = 2.9657 Å, c = 5.3146 Å
α = 90.00°, β = 111.95°, γ = 90.00°
Last column: nearest neighbours and their distance in Å.
Space group P2/m (No. 10)
Asymmetric unit:
Mn (0.0000, 0.0000, 0.0000) [1 per cell]  6 In 2.90-2.93, 2 Mn 2.97, 4 W 3.04
In (0.5000, 0.0000, 0.5000) [1 per cell]  2 Mn 2.90, 4 W 2.93, 6 In 2.97-3.04
In (0.5000, 0.5000, 0.0000) [1 per cell]  2 W 2.90, 4 Mn 2.93, 6 In 2.97-3.04
W (0.0000, 0.5000, 0.5000) [1 per cell]  6 In 2.90-2.93, 2 W 2.97, 4 Mn 3.04

Output
- DOS at the Fermi energy: 2.7 states/eV per cell
- ΔE_f: 50.9 kJ per mole of atoms
- Total magnetic moment: 3.40 μB/cell

First-principles (GGA-PBE) data for a relaxed structure of AcHo2TmSb4, as listed in Alexandria via LeMat-Bulk.

a = 7.7475 Å, b = 4.4796 Å, c = 7.7541 Å
α = 90.00°, β = 109.42°, γ = 90.00°
Last column: nearest neighbours and their distance in Å.
Space group P2/m (No. 10)
Asymmetric unit:
Ac (0.0000, 0.0000, 0.0000) [1 per cell]  6 Sb 3.27
Ho (0.0000, 0.5000, 0.5000) [1 per cell]  6 Sb 3.18
Ho (0.5000, 0.0000, 0.5000) [1 per cell]  6 Sb 3.06
Tm (0.5000, 0.5000, 0.0000) [1 per cell]  6 Sb 3.16
Sb (0.2596, 0.0000, 0.7434) [2 per cell]  3 Ho 3.06-3.18, 2 Tm 3.16, 1 Ac 3.27
Sb (0.2674, 0.5000, 0.2658) [2 per cell]  3 Ho 3.06-3.18, 1 Tm 3.16, 2 Ac 3.27

Output
- Formation energy (no corrections): -1.086 eV/atom
- DOS at the Fermi energy: 1.1 states/eV per cell
- Total magnetic moment: 0.00 μB/cell

First-principles (GGA-PBE) data for a relaxed structure of CsSeCl, as listed in Alexandria via LeMat-Bulk.

a = 8.8223 Å, b = 9.4152 Å, c = 16.5428 Å
α = 90.00°, β = 90.00°, γ = 90.00°
Last column: nearest neighbours and their distance in Å.
Space group Cmce (No. 64)
Asymmetric unit:
Cs (0.0000, 0.1224, 0.1847) [8 per cell]  4 Cl 3.39-3.42
Se (0.0000, 0.0102, 0.5665) [8 per cell]  1 Se 2.21
Cl (0.2500, 0.1251, 0.7500) [8 per cell]  4 Cs 3.39-3.42

Output
- Formation energy (no corrections): -1.052 eV/atom
- Total magnetic moment: 8.00 μB/cell

First-principles (GGA-PBE) data for a relaxed structure of Tb2Dy5Tl, as listed in Alexandria via LeMat-Bulk.

a = 3.5470 Å, b = 6.6781 Å, c = 21.0577 Å
α = 90.00°, β = 90.00°, γ = 90.00°
Last column: nearest neighbours and their distance in Å.
Space group Immm (No. 71)
Asymmetric unit:
Tb (0.0000, 0.0000, 0.2393) [4 per cell]  6 Dy 3.50-3.58, 6 Tb 3.55-3.81
Dy (0.0000, 0.0000, 0.0000) [2 per cell]  2 Tl 3.34, 10 Dy 3.43-3.55
Dy (0.0000, 0.2497, 0.3853) [8 per cell]  6 Dy 3.34-3.55, 2 Tl 3.43, 3 Tb 3.50-3.58
Tl (0.0000, 0.5000, 0.0000) [2 per cell]  10 Dy 3.34-3.43, 2 Tl 3.55

Output
- DOS at the Fermi energy: 22.8 states/eV per cell
- ΔE_f: 1.1 kJ per mole of atoms
- Total magnetic moment: 0.00 μB/cell

First-principles (GGA-PBE) data for a relaxed structure of Rb2BeInO4, as listed in Alexandria via LeMat-Bulk.

a = 5.0614 Å, b = 11.9449 Å, c = 22.0684 Å
α = 90.00°, β = 90.00°, γ = 90.00°
Last column: nearest neighbours and their distance in Å.
Space group Fddd (No. 70, origin choice 2)
Asymmetric unit:
Rb (0.1250, 0.1250, 0.3022) [16 per cell]  4 O 3.07-3.22
Be (0.1250, 0.1250, 0.6250) [8 per cell]  4 O 1.67
In (0.1250, 0.1250, 0.1250) [8 per cell]  4 O 2.07
O (0.0678, 0.2908, 0.8335) [32 per cell]  1 Be 1.67

Output
- Formation energy (no corrections): -1.396 eV/atom
- DOS at the Fermi energy: 47.4 states/eV per cell
- Total magnetic moment: 8.05 μB/cell

First-principles (GGA-PBE) data for a relaxed structure of ZrSn3Pt, as listed in Alexandria via LeMat-Bulk.

a = 5.1941 Å, b = 5.1941 Å, c = 5.1941 Å
α = 90.00°, β = 90.00°, γ = 90.00°
Last column: nearest neighbours and their distance in Å.
Space group Pm-3m (No. 221)
Asymmetric unit:
Zr (0.0000, 0.0000, 0.0000) [1 per cell]  12 Sn 3.67
Sn (0.0000, 0.5000, 0.5000) [3 per cell]  2 Pt 2.60
Pt (0.5000, 0.5000, 0.5000) [1 per cell]  6 Sn 2.60

Output
- DOS at the Fermi energy: 6.2 states/eV per cell
- ΔE_f: 38.7 kJ per mole of atoms
- Total magnetic moment: 1.61 μB/cell

First-principles (GGA-PBE) data for a relaxed structure of TlNi3Ag, as listed in Alexandria via LeMat-Bulk.

a = 4.6678 Å, b = 4.6678 Å, c = 4.6678 Å
α = 90.00°, β = 90.00°, γ = 90.00°
Last column: nearest neighbours and their distance in Å.
Space group Pm-3m (No. 221)
Asymmetric unit:
Tl (0.0000, 0.0000, 0.0000) [1 per cell]  12 Ni 3.30
Ni (0.0000, 0.5000, 0.5000) [3 per cell]  2 Ag 2.33
Ag (0.5000, 0.5000, 0.5000) [1 per cell]  6 Ni 2.33

Output
- DOS at the Fermi energy: 5.8 states/eV per cell
- ΔE_f: 114.2 kJ per mole of atoms
- Total magnetic moment: 0.83 μB/cell

First-principles (GGA-PBE) data for a relaxed structure of ZrNpTe2N, as listed in Alexandria via LeMat-Bulk.

a = 3.9495 Å, b = 3.9495 Å, c = 15.6305 Å
α = 90.00°, β = 90.00°, γ = 90.00°
Last column: nearest neighbours and their distance in Å.
Space group P4/nmm (No. 129, origin choice 2)
Asymmetric unit:
Zr (0.2500, 0.2500, 0.1343) [2 per cell]  5 Te 2.76-2.92
Np (0.2500, 0.2500, 0.5701) [2 per cell]  4 N 2.26
Te (0.2500, 0.2500, 0.3110) [2 per cell]  1 Zr 2.76
Te (0.2500, 0.2500, 0.9212) [2 per cell]  4 Zr 2.92
N (0.2500, 0.7500, 0.5000) [2 per cell]  4 Np 2.26

Output
- Formation energy (no corrections): -0.900 eV/atom
- DOS at the Fermi energy: 18.7 states/eV per cell
- Total magnetic moment: 7.41 μB/cell

First-principles (GGA-PBE) data for a relaxed structure of Lu6MnBi2, as listed in Alexandria via LeMat-Bulk.

a = 8.1182 Å, b = 8.1182 Å, c = 4.1768 Å
α = 90.00°, β = 90.00°, γ = 120.00°
Last column: nearest neighbours and their distance in Å.
Space group P-62m (No. 189)
Asymmetric unit:
Lu (0.0000, 0.3813, 0.0000) [3 per cell]  1 Mn 3.10, 4 Bi 3.28, 4 Lu 3.41
Lu (0.0000, 0.7705, 0.5000) [3 per cell]  2 Mn 2.80
Mn (0.0000, 0.0000, 0.0000) [1 per cell]  9 Lu 2.80-3.10
Bi (0.3333, 0.6667, 0.5000) [2 per cell]  9 Lu 3.21-3.28

Output
- DOS at the Fermi energy: 6.2 states/eV per cell
- ΔE_f: -37.4 kJ per mole of atoms
- Total magnetic moment: 0.00 μB/cell

First-principles (GGA-PBE) data for a relaxed structure of K3FeAs, as listed in Alexandria via LeMat-Bulk.

a = 6.3837 Å, b = 6.3837 Å, c = 6.3837 Å
α = 90.00°, β = 90.00°, γ = 90.00°
Last column: nearest neighbours and their distance in Å.
Space group Pm-3m (No. 221)
Asymmetric unit:
K (0.0000, 0.0000, 0.5000) [3 per cell]  2 As 3.19
Fe (0.5000, 0.5000, 0.5000) [1 per cell]  12 K 4.51
As (0.0000, 0.0000, 0.0000) [1 per cell]  6 K 3.19

Output
- DOS at the Fermi energy: 21.5 states/eV per cell
- ΔE_f: 57.1 kJ per mole of atoms
- Total magnetic moment: 4.00 μB/cell